# 1
A relaxed CaBPd3 crystal, computed with PBE.

Geometry as extended XYZ:
```
20
Lattice="7.4311 0.0000 0.0000 0.0000 5.9724 0.0000 -2.4664 0.0000 7.4488" Properties=species:S:1:pos:R:3 pbc="T T T"
Ca 0.4561 0.6066 1.6627
Ca -0.7771 2.3796 5.3871
Ca 5.7418 3.5928 2.0617
Ca 4.5085 5.3657 5.7861
B 3.1123 4.3625 0.5939
B 1.8791 4.5960 4.3183
B 3.0856 1.3763 3.1305
B 1.8523 1.6099 6.8550
Pd 0.9976 3.8144 0.5575
Pd -0.2357 5.1442 4.2819
Pd 0.0053 0.0215 6.9015
Pd 1.2385 2.9647 3.1771
Pd 2.0163 0.7203 4.8918
Pd 3.2495 2.2658 1.1674
Pd 1.7151 3.7065 6.2815
Pd 2.9483 5.2520 2.5570
Pd 3.7261 3.0077 4.2717
Pd 4.9594 5.9508 0.5473
Pd 5.2003 0.8282 3.1669
Pd 3.9671 2.1580 6.8914
```

**Formation enthalpy at 0 K**: -2.14 eV per formula unit

***

# 2
A relaxed BaBeRe2 crystal, computed with PBE.

Geometry as extended XYZ:
```
8
Lattice="3.8669 0.0000 0.0000 0.0000 3.8669 0.0000 0.0000 0.0000 10.4355" Properties=species:S:1:pos:R:3 pbc="T T T"
Ba 0.0000 0.0000 0.0000
Ba 1.9335 1.9335 5.2177
Be 0.0000 0.0000 5.2177
Be 1.9335 1.9335 0.0000
Re 0.0000 1.9335 2.6089
Re 0.0000 1.9335 7.8266
Re 1.9335 0.0000 2.6089
Re 1.9335 0.0000 7.8266
```

**Formation enthalpy at 0 K**: 6.65 eV per formula unit

***

# 3
A relaxed RbCd3Co crystal, computed with PBE.

Geometry as extended XYZ:
```
5
Lattice="5.1593 0.0000 0.0000 0.0000 5.1593 0.0000 0.0000 0.0000 5.1593" Properties=species:S:1:pos:R:3 pbc="T T T"
Rb 0.0000 0.0000 0.0000
Cd 0.0000 2.5797 2.5797
Cd 2.5797 0.0000 2.5797
Cd 2.5797 2.5797 0.0000
Co 2.5797 2.5797 2.5797
```

**Formation enthalpy at 0 K**: 0.81 eV per formula unit
**Distance to the lowest polymorph of the same formula**: 0.0 meV per atom